# PBE SnPH, relaxed
# * crystal system: triclinic
# * size of the total moment: 0.000 μB per formula unit
# * electronic total energy: -4.034 eV per atom
data_SnPH
_chemical_formula_sum 'Sn2 P2 H2'
_symmetry_space_group_name_H-M 'P 1'
_symmetry_Int_Tables_number 1
_cell_length_a 6.863
_cell_length_b 5.919
_cell_length_c 5.602
_cell_angle_alpha 84.78
_cell_angle_beta 144.49
_cell_angle_gamma 94.26
loop_
_symmetry_equiv_pos_as_xyz
'x,y,z'
loop_
_atom_site_label
_atom_site_type_symbol
_atom_site_fract_x
_atom_site_fract_y
_atom_site_fract_z
H1 H 0.752 0.798 0.287
H2 H 0.248 0.202 0.713
Sn1 Sn 0.249 0.299 0.413
Sn2 Sn 0.751 0.701 0.587
P1 P 0.249 0.750 0.358
P2 P 0.751 0.250 0.642



# PBE SnPH, relaxed
# * crystal system: monoclinic
# * DOS(E_F): 1.6 states/eV per cell
# * size of the total moment: 0.000 μB per formula unit
# * electronic total energy: -3.979 eV per atom
data_SnPH
_chemical_formula_sum 'Sn2 P2 H2'
_symmetry_space_group_name_H-M 'P 1'
_symmetry_Int_Tables_number 1
_cell_length_a 5.164
_cell_length_b 5.164
_cell_length_c 5.283
_cell_angle_alpha 88.26
_cell_angle_beta 88.26
_cell_angle_gamma 48.61
loop_
_symmetry_equiv_pos_as_xyz
'x,y,z'
loop_
_atom_site_label
_atom_site_type_symbol
_atom_site_fract_x
_atom_site_fract_y
_atom_site_fract_z
P1 P 0.001 0.001 0.701
P2 P 0.999 0.999 0.299
H1 H 0.305 0.305 0.405
H2 H 0.695 0.695 0.595
Sn1 Sn 0.681 0.681 0.250
Sn2 Sn 0.319 0.319 0.750



# PBE SrSn2PH, relaxed
# * crystal system: tetragonal
# * DOS(E_F): 5.3 states/eV per cell
# * size of the total moment: 0.967 μB per formula unit
# * electronic total energy: -2.379 eV per atom
data_SrSn2PH
_chemical_formula_sum 'Sr1 Sn2 P1 H1'
_symmetry_space_group_name_H-M 'P 1'
_symmetry_Int_Tables_number 1
_cell_length_a 6.236
_cell_length_b 5.559
_cell_length_c 6.236
_cell_angle_alpha 90.00
_cell_angle_beta 90.00
_cell_angle_gamma 90.00
loop_
_symmetry_equiv_pos_as_xyz
'x,y,z'
loop_
_atom_site_label
_atom_site_type_symbol
_atom_site_fract_x
_atom_site_fract_y
_atom_site_fract_z
Sn1 Sn 0.000 0.000 0.500
Sn2 Sn 0.500 0.000 0.000
P1 P 0.000 0.500 0.000
Sr1 Sr 0.000 0.000 0.000
H1 H 0.500 0.500 0.500



# PBE TaSnP2H, relaxed
# * crystal system: tetragonal
# * DOS(E_F): 2.4 states/eV per cell
# * size of the total moment: 0.000 μB per formula unit
# * electronic total energy: -5.930 eV per atom
data_TaSnP2H
_chemical_formula_sum 'Ta1 Sn1 P2 H1'
_symmetry_space_group_name_H-M 'P 1'
_symmetry_Int_Tables_number 1
_cell_length_a 4.896
_cell_length_b 3.769
_cell_length_c 4.896
_cell_angle_alpha 90.00
_cell_angle_beta 90.00
_cell_angle_gamma 90.00
loop_
_symmetry_equiv_pos_as_xyz
'x,y,z'
loop_
_atom_site_label
_atom_site_type_symbol
_atom_site_fract_x
_atom_site_fract_y
_atom_site_fract_z
P1 P 0.000 0.000 0.500
P2 P 0.500 0.000 0.000
Ta1 Ta 0.000 0.000 0.000
Sn1 Sn 0.500 0.500 0.500
H1 H 0.000 0.500 0.000



# PBE TaSnPH2, relaxed
# * crystal system: tetragonal
# * DOS(E_F): 4.4 states/eV per cell
# * size of the total moment: 1.762 μB per formula unit
# * electronic total energy: -4.569 eV per atom
data_TaSnPH2
_chemical_formula_sum 'Ta1 Sn1 P1 H2'
_symmetry_space_group_name_H-M 'P 1'
_symmetry_Int_Tables_number 1
_cell_length_a 3.821
_cell_length_b 5.763
_cell_length_c 3.821
_cell_angle_alpha 90.00
_cell_angle_beta 90.00
_cell_angle_gamma 90.00
loop_
_symmetry_equiv_pos_as_xyz
'x,y,z'
loop_
_atom_site_label
_atom_site_type_symbol
_atom_site_fract_x
_atom_site_fract_y
_atom_site_fract_z
H1 H 0.000 0.000 0.500
H2 H 0.500 0.000 0.000
Ta1 Ta 0.500 0.500 0.500
P1 P 0.000 0.000 0.000
Sn1 Sn 0.000 0.500 0.000



# PBE Sr4P2H, relaxed
# * crystal system: tetragonal
# * DOS(E_F): 3.1 states/eV per cell
# * size of the total moment: 0.001 μB per formula unit
# * electronic total energy: -3.769 eV per atom
data_Sr4P2H
_chemical_formula_sum 'Sr4 P2 H1'
_symmetry_space_group_name_H-M 'P 1'
_symmetry_Int_Tables_number 1
_cell_length_a 4.752
_cell_length_b 4.752
_cell_length_c 8.891
_cell_angle_alpha 105.50
_cell_angle_beta 105.50
_cell_angle_gamma 90.00
loop_
_symmetry_equiv_pos_as_xyz
'x,y,z'
loop_
_atom_site_label
_atom_site_type_symbol
_atom_site_fract_x
_atom_site_fract_y
_atom_site_fract_z
Sr1 Sr 0.817 0.817 0.634
Sr2 Sr 0.500 0.000 0.000
Sr3 Sr 0.183 0.183 0.366
Sr4 Sr 0.000 0.500 0.000
H1 H 0.000 0.000 0.000
P1 P 0.631 0.631 0.263
P2 P 0.369 0.369 0.737



# PBE Sr8P5H, relaxed
# * crystal system: tetragonal
# * DOS(E_F): 0.0 states/eV per cell
# * size of the total moment: 0.000 μB per formula unit
# * electronic total energy: -4.127 eV per atom
data_Sr8P5H
_chemical_formula_sum 'Sr8 P5 H1'
_symmetry_space_group_name_H-M 'P 1'
_symmetry_Int_Tables_number 1
_cell_length_a 8.024
_cell_length_b 8.024
_cell_length_c 8.024
_cell_angle_alpha 109.66
_cell_angle_beta 109.09
_cell_angle_gamma 109.66
loop_
_symmetry_equiv_pos_as_xyz
'x,y,z'
loop_
_atom_site_label
_atom_site_type_symbol
_atom_site_fract_x
_atom_site_fract_y
_atom_site_fract_z
Sr1 Sr 0.258 0.247 0.374
Sr2 Sr 0.503 0.622 0.264
Sr3 Sr 0.642 0.378 0.881
Sr4 Sr 0.127 0.753 0.011
Sr5 Sr 0.736 0.239 0.358
Sr6 Sr 0.119 0.761 0.497
Sr7 Sr 0.626 0.884 0.873
Sr8 Sr 0.989 0.116 0.742
P1 P 0.014 0.382 0.131
P2 P 0.869 0.884 0.251
P3 P 0.749 0.618 0.633
P4 P 0.500 0.000 0.500
P5 P 0.367 0.116 0.986
H1 H 0.250 0.500 0.750



# PBE SrP3H, relaxed
# * crystal system: cubic
# * DOS(E_F): 3.2 states/eV per cell
# * size of the total moment: 0.000 μB per formula unit
# * electronic total energy: -4.037 eV per atom
data_SrP3H
_chemical_formula_sum 'Sr1 P3 H1'
_symmetry_space_group_name_H-M 'P 1'
_symmetry_Int_Tables_number 1
_cell_length_a 4.334
_cell_length_b 4.334
_cell_length_c 4.334
_cell_angle_alpha 90.00
_cell_angle_beta 90.00
_cell_angle_gamma 90.00
loop_
_symmetry_equiv_pos_as_xyz
'x,y,z'
loop_
_atom_site_label
_atom_site_type_symbol
_atom_site_fract_x
_atom_site_fract_y
_atom_site_fract_z
P1 P 0.000 0.500 0.000
P2 P 0.000 0.000 0.500
P3 P 0.500 0.000 0.000
H1 H 0.000 0.000 0.000
Sr1 Sr 0.500 0.500 0.500



# PBE Sr3P2H, relaxed
# * crystal system: monoclinic
# * DOS(E_F): 3.3 states/eV per cell
# * size of the total moment: 0.000 μB per formula unit
# * electronic total energy: -3.982 eV per atom
data_Sr3P2H
_chemical_formula_sum 'Sr6 P4 H2'
_symmetry_space_group_name_H-M 'P 1'
_symmetry_Int_Tables_number 1
_cell_length_a 6.074
_cell_length_b 7.109
_cell_length_c 8.136
_cell_angle_alpha 99.30
_cell_angle_beta 90.00
_cell_angle_gamma 115.29
loop_
_symmetry_equiv_pos_as_xyz
'x,y,z'
loop_
_atom_site_label
_atom_site_type_symbol
_atom_site_fract_x
_atom_site_fract_y
_atom_site_fract_z
Sr1 Sr 0.418 0.000 0.250
Sr2 Sr 0.937 0.671 0.839
Sr3 Sr 0.582 0.000 0.750
Sr4 Sr 0.734 0.671 0.339
Sr5 Sr 0.266 0.329 0.661
Sr6 Sr 0.063 0.329 0.161
P1 P 0.445 0.670 0.981
P2 P 0.555 0.330 0.019
P3 P 0.225 0.670 0.481
P4 P 0.775 0.330 0.519
H1 H 0.976 0.000 0.750
H2 H 0.024 0.000 0.250



# PBE Sr3PH, relaxed
# * crystal system: cubic
# * DOS(E_F): 6.5 states/eV per cell
# * size of the total moment: 0.002 μB per formula unit
# * electronic total energy: -3.014 eV per atom
data_Sr3PH
_chemical_formula_sum 'Sr3 P1 H1'
_symmetry_space_group_name_H-M 'P 1'
_symmetry_Int_Tables_number 1
_cell_length_a 5.056
_cell_length_b 5.056
_cell_length_c 5.056
_cell_angle_alpha 90.00
_cell_angle_beta 90.00
_cell_angle_gamma 90.00
loop_
_symmetry_equiv_pos_as_xyz
'x,y,z'
loop_
_atom_site_label
_atom_site_type_symbol
_atom_site_fract_x
_atom_site_fract_y
_atom_site_fract_z
Sr1 Sr 0.500 0.000 0.000
Sr2 Sr 0.000 0.500 0.000
Sr3 Sr 0.000 0.000 0.500
P1 P 0.500 0.500 0.500
H1 H 0.000 0.000 0.000